{"formula": "SmHoAlZn", "functional": "PBE", "state": "relaxed", "dos_at_fermi_per_ev_atom": 0.76, "de_polymorph_ev_per_atom": 0.000, "formation_enthalpy_0k_ev_per_atom": -0.3672, "magmom_total_mub_per_atom": 0.000, "e_tot_ev_per_fu": -15.78, "lattice_angstrom": [[3.595, 0.000, 0.000], [0.000, 3.595, 0.000], [0.000, 0.000, 7.329]], "species": ["Sm", "Ho", "Al", "Zn"], "frac_coords": [[0.000, 0.000, 0.854], [0.000, 0.000, 0.363], [0.500, 0.500, 0.118], [0.500, 0.500, 0.592]]}

=====

{"formula": "SmHoZrAl", "functional": "PBE", "state": "relaxed", "dos_at_fermi_per_ev_atom": 1.72, "formation_enthalpy_0k_ev_per_atom": -0.0053, "magmom_total_mub_per_atom": 0.001, "e_tot_ev_per_fu": -21.61, "lattice_angstrom": [[5.196, 0.000, 0.000], [2.598, 4.500, 0.000], [2.598, 1.500, 4.242]], "species": ["Zr", "Ho", "Sm", "Al"], "frac_coords": [[0.250, 0.250, 0.250], [0.000, 0.000, 0.000], [0.750, 0.750, 0.750], [0.500, 0.500, 0.500]]}

=====

{"formula": "HoAlSn2", "functional": "PBE", "state": "relaxed", "dos_at_fermi_per_ev_atom": 0.45, "formation_enthalpy_0k_ev_per_atom": -0.3701, "magmom_total_mub_per_atom": 0.000, "e_tot_ev_per_fu": -17.81, "lattice_angstrom": [[-1.799, -1.371, -3.873], [-0.514, -4.229, 1.735], [-4.182, 1.140, 1.539]], "species": ["Al", "Ho", "Sn", "Sn"], "frac_coords": [[0.500, 0.000, 0.000], [0.500, 0.500, 0.500], [0.000, 0.000, 0.500], [0.000, 0.500, 0.000]]}

=====

{"formula": "Ho2AlSn", "functional": "PBE", "state": "relaxed", "dos_at_fermi_per_ev_atom": 0.86, "formation_enthalpy_0k_ev_per_atom": -0.5884, "magmom_total_mub_per_atom": 0.000, "e_tot_ev_per_fu": -19.25, "lattice_angstrom": [[4.461, 0.000, 0.000], [0.000, 4.181, 0.000], [-2.231, 0.000, 5.580]], "species": ["Ho", "Ho", "Al", "Sn"], "frac_coords": [[0.809, 0.500, 0.617], [0.088, 0.000, 0.175], [0.362, 0.000, 0.724], [0.526, 0.500, 0.052]]}

=====

{"formula": "Ho2AlSn", "functional": "PBE", "state": "relaxed", "dos_at_fermi_per_ev_atom": 0.63, "formation_enthalpy_0k_ev_per_atom": -0.4903, "magmom_total_mub_per_atom": 0.000, "e_tot_ev_per_fu": -18.86, "lattice_angstrom": [[-0.015, 2.866, 3.170], [2.369, -3.098, 2.813], [4.185, 1.767, -1.578]], "species": ["Al", "Ho", "Ho", "Sn"], "frac_coords": [[0.500, 0.500, 0.500], [0.000, 0.000, 0.500], [0.000, 0.500, 0.000], [0.500, 0.000, 0.000]]}

=====

{"formula": "Ho2AlSn", "functional": "PBE", "state": "relaxed", "dos_at_fermi_per_ev_atom": 0.90, "formation_enthalpy_0k_ev_per_atom": 0.0805, "magmom_total_mub_per_atom": 0.000, "e_tot_ev_per_fu": -16.58, "lattice_angstrom": [[3.347, 0.000, 0.000], [1.673, 2.899, 0.000], [1.673, 0.966, 11.389]], "species": ["Al", "Ho", "Ho", "Sn"], "frac_coords": [[0.000, 0.000, 0.000], [0.089, 0.089, 0.732], [0.911, 0.911, 0.268], [0.500, 0.500, 0.500]]}

=====

{"formula": "Ho3AlSn", "functional": "PBE", "state": "relaxed", "dos_at_fermi_per_ev_atom": 0.96, "formation_enthalpy_0k_ev_per_atom": -0.2401, "magmom_total_mub_per_atom": 0.000, "e_tot_ev_per_fu": -22.68, "lattice_angstrom": [[5.848, 0.000, 0.000], [0.000, 8.381, 0.000], [0.000, 0.000, 10.909]], "species": ["Ho", "Ho", "Ho", "Ho", "Ho", "Ho", "Ho", "Ho", "Ho", "Ho", "Ho", "Ho", "Al", "Al", "Al", "Al", "Sn", "Sn", "Sn", "Sn"], "frac_coords": [[0.999, 0.126, 0.105], [0.501, 0.626, 0.605], [0.501, 0.626, 0.895], [0.001, 0.874, 0.605], [0.001, 0.874, 0.895], [0.499, 0.374, 0.395], [0.499, 0.374, 0.105], [0.999, 0.126, 0.395], [0.250, 0.249, 0.750], [0.250, 0.749, 0.250], [0.750, 0.751, 0.250], [0.750, 0.251, 0.750], [0.002, 0.573, 0.750], [0.498, 0.073, 0.250], [0.998, 0.427, 0.250], [0.502, 0.927, 0.750], [0.000, 0.500, 0.000], [0.500, 0.000, 0.500], [0.500, 0.000, 0.000], [0.000, 0.500, 0.500]]}

=====

{"formula": "Ho2AlSn2", "functional": "PBE", "state": "relaxed", "dos_at_fermi_per_ev_atom": 0.47, "formation_enthalpy_0k_ev_per_atom": -0.1344, "magmom_total_mub_per_atom": 0.000, "e_tot_ev_per_fu": -21.58, "lattice_angstrom": [[-2.728, -4.089, 4.082], [5.710, 0.171, -2.862], [2.009, 6.891, 6.669]], "species": ["Ho", "Ho", "Ho", "Ho", "Al", "Al", "Sn", "Sn", "Sn", "Sn"], "frac_coords": [[0.398, 0.602, 0.500], [0.148, 0.852, 0.000], [0.102, 0.898, 0.500], [0.852, 0.148, 0.000], [0.750, 0.250, 0.500], [0.500, 0.500, 0.000], [0.125, 0.375, 0.750], [0.625, 0.375, 0.250], [0.625, 0.375, 0.750], [0.625, 0.875, 0.250]]}

=====

{"formula": "HoAlSn2", "functional": "PBE", "state": "relaxed", "dos_at_fermi_per_ev_atom": 0.54, "formation_enthalpy_0k_ev_per_atom": -0.1813, "magmom_total_mub_per_atom": 0.000, "e_tot_ev_per_fu": -17.05, "lattice_angstrom": [[4.374, 0.000, 0.000], [2.187, 3.788, 0.000], [2.187, 1.263, 6.466]], "species": ["Ho", "Al", "Sn", "Sn"], "frac_coords": [[0.667, 0.667, 0.998], [0.497, 0.497, 0.508], [0.092, 0.092, 0.725], [0.244, 0.244, 0.269]]}

=====

{"formula": "Ho8Al2Sn", "functional": "PBE", "state": "relaxed", "dos_at_fermi_per_ev_atom": 1.00, "formation_enthalpy_0k_ev_per_atom": -0.2651, "magmom_total_mub_per_atom": 0.000, "e_tot_ev_per_fu": -51.03, "lattice_angstrom": [[-2.877, -3.283, 2.191], [6.125, -4.934, 0.648], [0.832, 6.601, 5.537]], "species": ["Ho", "Ho", "Ho", "Ho", "Ho", "Ho", "Ho", "Ho", "Al", "Al", "Sn"], "frac_coords": [[0.396, 0.540, 0.791], [0.680, 0.941, 0.359], [0.844, 0.777, 0.689], [0.950, 0.270, 0.901], [0.156, 0.223, 0.311], [0.320, 0.059, 0.641], [0.604, 0.460, 0.209], [0.050, 0.730, 0.099], [0.781, 0.346, 0.561], [0.219, 0.654, 0.439], [0.500, 0.000, 0.000]]}

=====

{"formula": "Ho2AlSn", "functional": "PBE", "state": "relaxed", "dos_at_fermi_per_ev_atom": 0.77, "formation_enthalpy_0k_ev_per_atom": -0.4514, "magmom_total_mub_per_atom": 0.000, "e_tot_ev_per_fu": -18.71, "lattice_angstrom": [[-3.238, -0.596, -1.976], [2.064, -0.887, -3.114], [0.047, -6.492, 1.881]], "species": ["Al", "Ho", "Ho", "Sn"], "frac_coords": [[0.500, 0.500, 0.500], [0.000, 0.000, 0.745], [0.000, 0.000, 0.255], [0.500, 0.500, 0.000]]}

=====

{"formula": "HoAlSn2", "functional": "PBE", "state": "relaxed", "dos_at_fermi_per_ev_atom": 0.23, "formation_enthalpy_0k_ev_per_atom": -0.3981, "magmom_total_mub_per_atom": 0.000, "e_tot_ev_per_fu": -17.92, "lattice_angstrom": [[4.385, 0.000, 0.000], [0.000, 4.385, 0.000], [0.000, 0.000, 9.793]], "species": ["Ho", "Ho", "Al", "Al", "Sn", "Sn", "Sn", "Sn"], "frac_coords": [[0.000, 0.500, 0.252], [0.500, 0.000, 0.748], [0.500, 0.500, 0.000], [0.000, 0.000, 0.000], [0.500, 0.000, 0.203], [0.000, 0.500, 0.797], [0.000, 0.000, 0.500], [0.500, 0.500, 0.500]]}

=====

{"formula": "HoAl2Sn", "functional": "PBE", "state": "relaxed", "dos_at_fermi_per_ev_atom": 0.38, "formation_enthalpy_0k_ev_per_atom": -0.3797, "magmom_total_mub_per_atom": 0.000, "e_tot_ev_per_fu": -17.58, "lattice_angstrom": [[4.372, 0.000, 0.000], [0.000, 4.418, 0.000], [0.000, 0.000, 4.418]], "species": ["Al", "Al", "Ho", "Sn"], "frac_coords": [[0.000, 0.000, 0.500], [0.000, 0.500, 0.000], [0.500, 0.500, 0.500], [0.500, 0.000, 0.000]]}

=====

{"formula": "Ho6Al2Sn", "functional": "PBE", "state": "relaxed", "dos_at_fermi_per_ev_atom": 0.78, "formation_enthalpy_0k_ev_per_atom": -0.3583, "magmom_total_mub_per_atom": 0.000, "e_tot_ev_per_fu": -42.18, "lattice_angstrom": [[-8.469, -0.128, -1.788], [1.609, -3.094, 7.923], [3.312, 7.996, 0.153]], "species": ["Ho", "Ho", "Ho", "Ho", "Ho", "Ho", "Ho", "Ho", "Ho", "Ho", "Ho", "Ho", "Al", "Al", "Al", "Al", "Sn", "Sn"], "frac_coords": [[0.540, 0.725, 0.815], [0.460, 0.275, 0.185], [0.090, 0.275, 0.815], [0.910, 0.725, 0.185], [0.797, 0.757, 0.555], [0.203, 0.243, 0.445], [0.203, 0.757, 0.960], [0.797, 0.243, 0.040], [0.707, 0.385, 0.678], [0.293, 0.615, 0.322], [0.293, 0.972, 0.678], [0.707, 0.028, 0.322], [0.500, 0.379, 0.879], [0.500, 0.621, 0.121], [0.643, 0.000, 0.643], [0.357, 0.000, 0.357], [0.000, 0.500, 0.500], [0.000, 0.000, 0.000]]}

=====

{"formula": "HoAlSn2", "functional": "PBE", "state": "relaxed", "dos_at_fermi_per_ev_atom": 0.92, "formation_enthalpy_0k_ev_per_atom": -0.0294, "magmom_total_mub_per_atom": 0.000, "e_tot_ev_per_fu": -16.44, "lattice_angstrom": [[-0.559, 2.151, -2.524], [-2.043, -0.866, -2.526], [-9.156, 4.501, 3.623]], "species": ["Al", "Ho", "Sn", "Sn"], "frac_coords": [[0.000, 0.000, 0.000], [0.500, 0.500, 0.500], [0.086, 0.086, 0.742], [0.914, 0.914, 0.258]]}

=====

{"formula": "HoAl4Sn", "functional": "PBE", "state": "relaxed", "dos_at_fermi_per_ev_atom": 0.55, "formation_enthalpy_0k_ev_per_atom": -0.2016, "magmom_total_mub_per_atom": 0.000, "e_tot_ev_per_fu": -24.76, "lattice_angstrom": [[5.544, 0.000, 0.000], [2.772, 4.801, 0.000], [2.772, 1.600, 4.527]], "species": ["Al", "Al", "Al", "Al", "Ho", "Sn"], "frac_coords": [[0.625, 0.625, 0.126], [0.625, 0.126, 0.625], [0.625, 0.625, 0.625], [0.126, 0.625, 0.625], [0.250, 0.250, 0.250], [0.000, 0.000, 0.000]]}

=====

{"formula": "Ho3AlSn2", "functional": "PBE", "state": "relaxed", "dos_at_fermi_per_ev_atom": 0.62, "formation_enthalpy_0k_ev_per_atom": -0.5898, "magmom_total_mub_per_atom": 0.000, "e_tot_ev_per_fu": -29.02, "lattice_angstrom": [[-3.791, -2.189, -0.682], [5.962, -10.076, -0.791], [-1.202, -1.652, 11.985]], "species": ["Ho", "Ho", "Ho", "Ho", "Ho", "Ho", "Ho", "Ho", "Ho", "Ho", "Ho", "Ho", "Al", "Al", "Al", "Al", "Sn", "Sn", "Sn", "Sn", "Sn", "Sn", "Sn", "Sn"], "frac_coords": [[0.250, 0.379, 0.050], [0.750, 0.621, 0.950], [0.750, 0.879, 0.450], [0.250, 0.121, 0.550], [0.250, 0.704, 0.218], [0.750, 0.296, 0.782], [0.750, 0.204, 0.282], [0.250, 0.796, 0.718], [0.250, 0.438, 0.372], [0.750, 0.562, 0.628], [0.750, 0.938, 0.128], [0.250, 0.062, 0.872], [0.250, 0.130, 0.131], [0.750, 0.870, 0.869], [0.750, 0.630, 0.369], [0.250, 0.370, 0.631], [0.250, 0.688, 0.490], [0.750, 0.312, 0.510], [0.750, 0.188, 0.010], [0.250, 0.812, 0.990], [0.250, 0.994, 0.314], [0.750, 0.006, 0.686], [0.750, 0.494, 0.186], [0.250, 0.506, 0.814]]}

=====

{"formula": "Ho2AlSn4", "functional": "PBE", "state": "relaxed", "dos_at_fermi_per_ev_atom": 0.72, "formation_enthalpy_0k_ev_per_atom": -0.3776, "magmom_total_mub_per_atom": 0.000, "e_tot_ev_per_fu": -31.55, "lattice_angstrom": [[4.383, 0.000, 0.000], [0.000, 4.383, 0.000], [0.000, 0.000, 9.542]], "species": ["Ho", "Ho", "Al", "Sn", "Sn", "Sn", "Sn"], "frac_coords": [[0.500, 0.000, 0.758], [0.000, 0.500, 0.242], [0.500, 0.500, 0.000], [0.500, 0.000, 0.175], [0.000, 0.500, 0.825], [0.500, 0.500, 0.500], [0.000, 0.000, 0.500]]}

=====

{"formula": "SrHoAl", "functional": "PBE", "state": "relaxed", "dos_at_fermi_per_ev_atom": 0.91, "de_polymorph_ev_per_atom": 0.049, "formation_enthalpy_0k_ev_per_atom": -0.0937, "magmom_total_mub_per_atom": 0.000, "e_tot_ev_per_fu": -10.28, "lattice_angstrom": [[-1.676, -2.969, -1.548], [1.297, -2.171, 2.760], [-5.383, 3.832, 3.005]], "species": ["Sr", "Ho", "Al"], "frac_coords": [[0.020, 0.020, 0.041], [0.296, 0.296, 0.592], [0.683, 0.683, 0.367]]}

=====

{"formula": "SrHoAl", "functional": "PBE", "state": "relaxed", "dos_at_fermi_per_ev_atom": 0.77, "de_polymorph_ev_per_atom": 0.000, "formation_enthalpy_0k_ev_per_atom": -0.1430, "magmom_total_mub_per_atom": 0.016, "e_tot_ev_per_fu": -10.43, "lattice_angstrom": [[-1.629, -3.781, 2.827], [4.653, -1.791, 0.285], [1.284, 4.388, 6.609]], "species": ["Al", "Al", "Sr", "Sr", "Ho", "Ho"], "frac_coords": [[0.500, 0.000, 0.722], [0.000, 0.500, 0.278], [0.500, 0.000, 0.143], [0.000, 0.500, 0.857], [0.500, 0.500, 0.500], [0.000, 0.000, 0.500]]}